A plane-wave DFT calculation with SCAN was carried out for a crystal of Nd2ZrSe5 relaxed with PBEsol.

Cell: 11.955 8.271 7.618 Å, 90.00 90.00 90.00°
Space group Pnma (No. 62)
Unique sites:
Nd  0.176  0.003  0.039 [8 per cell]
Zr  0.009  0.750  0.579 [4 per cell]
Se  0.005  0.750  0.948 [4 per cell]
Se  0.084  0.040  0.670 [8 per cell]
Se  0.185  0.750  0.342 [4 per cell]
Se  0.209  0.250  0.324 [4 per cell]

Computed properties:
raw formation energy: -15.49 eV/f.u.